# 1
Computed, not measured: a relaxed structure of TbNp2Tl3Se6 at the PBE level of DFT.

Geometry as POSCAR:
```
TbNp2Tl3Se6
1.0
-5.891 4.319 0.076
-0.373 -6.734 2.805
4.210 3.579 5.981
Tl Se Tb Np
3 6 1 2
direct
0.833 0.167 0.500
0.500 0.500 0.500
0.167 0.833 0.500
0.401 0.068 0.204
0.932 0.599 0.796
0.068 0.401 0.204
0.735 0.735 0.204
0.265 0.265 0.796
0.599 0.932 0.796
0.000 0.000 0.000
0.667 0.333 0.000
0.333 0.667 0.000
```

Calculated values
As for the uncorrected formation energy: -1.055 eV/atom. The magnetization is 8.0 μB/f.u. The value obtained for the total DFT energy (no corrections) is -5.93 eV/atom.

---

# 2
Computed, not measured: a relaxed structure of LiFeAs2 at the PBE level of DFT.

Geometry as POSCAR:
```
LiFeAs2
1.0
-2.990 -3.654 -0.448
1.930 -1.751 1.405
-2.837 1.928 3.203
As Li Fe
2 1 1
direct
0.000 0.141 0.906
0.500 0.327 0.283
0.500 0.600 0.824
0.000 0.432 0.486
```

Calculated values
The energy above the most stable polymorph in this dataset is 0.172 eV/atom. The magnetization is 2.0 μB/f.u. The value obtained for the total DFT energy (no corrections) is -5.00 eV/atom. The calculation puts the formation enthalpy at 0 K at -0.082 eV/atom.